YP2PtS | PBE | relaxed

Lattice parameters (Å, degrees): 4.4967 4.4967 5.0523 90.00 90.00 90.00
Last column: nearest neighbours and their distance in Å.
Fractional coordinates of all 5 atoms:
Y 0.0000 0.0000 0.0000  2 S 2.53
P 0.0000 0.5000 0.5000  2 S 2.25
P 0.5000 0.0000 0.5000  2 S 2.25
Pt 0.5000 0.5000 0.0000  4 Y 3.18, 8 P 3.38
S 0.0000 0.0000 0.5000  4 P 2.25

## Properties
Density of states at the Fermi level = 0.5813 states/eV/atom
Raw formation energy = 0.225 eV/atom
Crystal system = tetragonal
Polymorph energy (0 for the lowest one) = 371 meV/atom
Space group = P4/mmm, No. 123